Compound: Li2HgRh
Source: Alexandria via LeMat-Bulk
Functional: PBE-GGA
Structure: relaxed

Values from the calculation:
ΔH_f (0 K): -0.126 eV/atom
VASP energy: -2.996 eV per atom
total magnetic moment: 0.25 μB/f.u.

CIF file:
```
data_Li2HgRh
_chemical_formula_sum 'Li2 Hg1 Rh1'
_cell_length_a 2.876
_cell_length_b 4.069
_cell_length_c 5.460
_cell_angle_alpha 90.00
_cell_angle_beta 90.00
_cell_angle_gamma 90.00
_space_group_name_H-M_alt 'P m m 2'
_space_group_IT_number 25
loop_
_space_group_symop_operation_xyz
'x,y,z'
'-x,-y,z'
'-x,y,z'
'x,-y,z'
loop_
_atom_site_label
_atom_site_fract_x
_atom_site_fract_y
_atom_site_fract_z
Li1 0.000 0.000 0.000
Li2 0.500 0.500 0.269
Hg1 0.500 0.500 0.751
Rh1 0.000 0.000 0.488
```